Here is an optimized crystal structure of Ba2CrMo from Alexandria. Energies are from PBE.

Results
E above lowest polymorph: 99.06 kJ per mole of atoms
Formation enthalpy at 0 K: 7.014 eV/f.u.

Cell lengths 7.7838, 7.7838, 7.7838 Å; angles 90.00, 90.00, 90.00 degrees
Space group Fm-3m (No. 225)
Asymmetric unit:
1 Ba 0.2500 0.2500 0.2500
2 Cr 0.0000 0.0000 0.0000
3 Mo 0.0000 0.0000 0.5000

Here is an optimized crystal structure of ZnCdRe2 from Alexandria. Energies are from PBE.

Results
E above lowest polymorph: 74.99 kJ per mole of atoms
Formation enthalpy at 0 K: 3.762 eV/f.u.

Cell lengths 6.3008, 6.3008, 6.3008 Å; angles 90.00, 90.00, 90.00 degrees
Space group Fm-3m (No. 225)
Asymmetric unit:
1 Zn 0.0000 0.0000 0.0000
2 Cd 0.0000 0.0000 0.5000
3 Re 0.2500 0.2500 0.2500

Here is an optimized crystal structure of LiPd4Au4 from Alexandria. Energies are from PBE.

Results
E above lowest polymorph: 0.00 kJ per mole of atoms
Formation enthalpy at 0 K: -1.939 eV/f.u.

Cell lengths 8.5903, 8.5903, 3.9642 Å; angles 90.00, 90.00, 90.00 degrees
Space group I4/mmm (No. 139)
Asymmetric unit:
1 Li 0.0000 0.0000 0.0000
2 Pd 0.0000 0.3346 0.0000
3 Au 0.1645 0.1645 0.5000